{"formula": "BaHg2RhPb", "functional": "PBE", "state": "relaxed", "total_energy_ev_per_atom": -2.985, "mass_density_g_cm3": 9.416, "magmom_total_mub_per_atom": 0.00, "formation_energy_kj_per_mol_fu": -129.1, "dos_at_fermi_per_ev_cell": 4.79, "cell": [[-2.962, -0.729, -4.386], [3.759, -3.226, -2.002], [-2.331, -4.118, 2.258]], "species": ["Pb", "Rh", "Ba", "Hg", "Hg"], "fractional_positions": [[0.000, 0.000, 0.500], [0.000, 0.000, 0.000], [0.500, 0.500, 0.500], [0.500, 0.000, 0.000], [0.000, 0.500, 0.000]]}